Entry 1:
Tb5Tl2Pt (GGA-PBE, optimized geometry); magnetization = 0.0 μB/f.u.; space group = Cmcm, No. 63; E_tot = -0.1612 Ha/atom; relative energy among the computed polymorphs = 388.2 meV/atom
1.0
-2.935 1.989 -4.276
3.553 -7.539 -2.338
-10.149 -6.068 4.143
Tb Tl Pt
10 4 2
direct
0.303 0.606 0.435
0.077 0.154 0.100
0.923 0.846 0.900
0.923 0.846 0.600
0.303 0.606 0.065
0.697 0.394 0.565
0.292 0.584 0.750
0.708 0.416 0.250
0.697 0.394 0.935
0.077 0.154 0.400
0.115 0.230 0.632
0.885 0.770 0.132
0.115 0.230 0.868
0.885 0.770 0.368
0.799 0.598 0.750
0.201 0.402 0.250

---

Entry 2:
Tb3Tl2Pt (GGA-PBE, optimized geometry); magnetization = 0.0 μB/f.u.; space group = C2/c, No. 15; E_tot = -0.1707 Ha/atom
1.0
6.250 0.000 0.000
0.000 6.984 -0.072
-3.125 -1.810 7.350
Tl Tb Pt
4 6 2
direct
0.755 0.546 0.341
0.414 0.954 0.659
0.586 0.046 0.341
0.245 0.454 0.659
0.930 0.907 0.706
0.070 0.093 0.294
0.776 0.407 0.706
0.224 0.593 0.294
0.633 0.750 0.000
0.367 0.250 0.000
0.125 0.750 0.000
0.875 0.250 0.000

---

Entry 3:
Tb2TlPt (GGA-PBE, optimized geometry); magnetization = 0.0 μB/f.u.; space group = R3m, No. 160; E_tot = -0.1884 Ha/atom; relative energy among the computed polymorphs = 77.4 meV/atom
1.0
4.038 0.000 0.000
2.019 3.497 0.000
2.019 1.166 8.068
Tb Tl Pt
2 1 1
direct
0.066 0.066 0.802
0.268 0.268 0.197
0.500 0.500 0.499
0.666 0.666 0.003

---

Entry 4:
Tb2TlPt (GGA-PBE, optimized geometry); magnetization = 0.0 μB/f.u.; space group = Pmma, No. 51; E_tot = -0.1912 Ha/atom; relative energy among the computed polymorphs = 0.0 meV/atom
1.0
3.589 0.000 0.000
0.000 7.191 0.000
0.000 0.000 7.655
Tb Tl Pt
4 2 2
direct
0.500 0.495 0.781
0.500 0.995 0.219
0.500 0.505 0.219
0.500 0.005 0.781
0.000 0.750 0.507
0.000 0.250 0.493
0.000 0.250 0.024
0.000 0.750 0.976

---

Entry 5:
Tb4Tl5Pt2 (GGA-PBE, optimized geometry); magnetization = 0.0 μB/f.u.; space group = P2/m, No. 10; E_tot = -0.1646 Ha/atom
1.0
-2.394 2.078 1.850
4.016 -1.402 6.770
5.201 7.965 -2.218
Tb Tl Pt
4 5 2
direct
0.500 0.211 0.430
0.500 0.789 0.570
0.500 0.191 0.846
0.500 0.809 0.154
0.000 0.462 0.666
0.000 0.848 0.865
0.000 0.538 0.334
0.000 0.152 0.135
0.000 0.500 0.000
0.000 0.920 0.365
0.000 0.080 0.635

---

Entry 6:
Tb3TlPt (GGA-PBE, optimized geometry); magnetization = 0.0 μB/f.u.; space group = Cmcm, No. 63; E_tot = -0.1846 Ha/atom; relative energy among the computed polymorphs = 90.4 meV/atom
1.0
3.801 0.000 0.000
-1.900 7.820 0.000
0.000 0.000 9.991
Tb Pt Tl
6 2 2
direct
0.876 0.751 0.750
0.339 0.678 0.429
0.339 0.678 0.071
0.661 0.322 0.571
0.661 0.322 0.929
0.124 0.249 0.250
0.245 0.490 0.750
0.755 0.510 0.250
0.000 0.000 0.500
0.000 0.000 0.000